# Li3Ti2NiO6, relaxed, DFT PBE with a Hubbard U
# calculated total energy = -6.84 eV per atom
# size of the total moment = 2.79 μB per formula unit
# Fermi-level density of states = 0.25 states/eV/atom
data_Li3Ti2NiO6
_cell_length_a 12.9680
_cell_length_b 2.9424
_cell_length_c 6.0112
_cell_angle_alpha 90.00
_cell_angle_beta 104.04
_cell_angle_gamma 90.00
_symmetry_space_group_name_H-M 'C 1 2/m 1'
_symmetry_Int_Tables_number 12
_symmetry_space_group_name_Hall '-C 2y'
loop_
_atom_site_label
_atom_site_fract_x
_atom_site_fract_y
_atom_site_fract_z
Li1 0.0000 0.0000 0.0000
Li2 0.1642 0.5000 0.3387
Ti1 0.1615 0.5000 0.8275
Ni1 0.0000 0.0000 0.5000
O1 0.0089 0.5000 0.7509
O2 0.1673 0.0000 0.5982
O3 0.1736 0.0000 0.0721